[1]
Material: Pm4Nd8Sm3
Method: DFT, PBE
State: optimized geometry

Summary:
excess energy over the best structure of this formula in the dataset: 2.68 eV/f.u.
crystal system: monoclinic
space-group type: C2/m (12)

Unit cell a=6.9387 b=9.3971 c=9.3971 alpha=82.14 beta=111.69 gamma=111.69
Each line ends with the local moment (μB).
Sites, in units of the cell vectors:
Sm: 0.5000 0.0000 0.5000  0.00
Nd: 0.2023 0.7023 0.7023  0.00
Pm: 0.0000 0.0000 0.0000  0.06
Sm: 0.5000 0.5000 0.0000  0.00
Sm: 0.5000 0.5000 0.5000  -0.01
Nd: 0.5000 0.2481 0.7519  0.01
Nd: 0.0000 0.2974 0.7026  0.00
Pm: 0.5000 0.0000 0.0000  0.05
Nd: 0.5000 0.7519 0.2481  0.01
Pm: 0.0000 0.0000 0.5000  0.00
Nd: 0.2483 0.2481 0.2481  0.01
Nd: 0.7977 0.2977 0.2977  0.00
Nd: 0.0000 0.7026 0.2974  0.00
Nd: 0.7517 0.7519 0.7519  0.01
Pm: 0.0000 0.5000 0.0000  0.00

=====

[2]
Material: PmNdSm4
Method: DFT, PBE
State: optimized geometry

Summary:
excess energy over the best structure of this formula in the dataset: 1.49 eV/f.u.
crystal system: cubic
space-group type: F-43m (216)

Unit cell a=6.6950 b=6.6950 c=6.6950 alpha=60.00 beta=60.00 gamma=60.00
Sites, in units of the cell vectors:
Nd: 0.0000 0.0000 0.0000
Sm: 0.6249 0.6249 0.1253
Sm: 0.1253 0.6249 0.6249
Sm: 0.6249 0.1253 0.6249
Pm: 0.2500 0.2500 0.2500
Sm: 0.6249 0.6249 0.6249

=====

[3]
Material: PmNd12Sm7
Method: DFT, PBE
State: optimized geometry

Summary:
excess energy over the best structure of this formula in the dataset: 8.10 eV/f.u.
crystal system: cubic
space-group type: Im-3 (204)

Unit cell a=10.0787 b=10.0787 c=10.0787 alpha=109.47 beta=109.47 gamma=109.47
Sites, in units of the cell vectors:
Sm: 0.0000 0.0000 0.5000
Nd: 0.2502 0.7491 0.9993
Nd: 0.2502 0.2509 0.5011
Sm: 0.0000 0.5000 0.0000
Sm: 0.5000 0.0000 0.0000
Pm: 0.0000 0.0000 0.0000
Nd: 0.7491 0.4989 0.7498
Sm: 0.5000 0.5000 0.5000
Nd: 0.0007 0.7498 0.2509
Sm: 0.5000 0.0000 0.5000
Sm: 0.5000 0.5000 0.0000
Nd: 0.9993 0.2502 0.7491
Nd: 0.7498 0.2509 0.0007
Sm: 0.0000 0.5000 0.5000
Nd: 0.7498 0.7491 0.4989
Nd: 0.2509 0.0007 0.7498
Nd: 0.7491 0.9993 0.2502
Nd: 0.5011 0.2502 0.2509
Nd: 0.4989 0.7498 0.7491
Nd: 0.2509 0.5011 0.2502

=====

[4]
Material: Pm3Nd2Sm7
Method: DFT, PBE
State: optimized geometry

Summary:
excess energy over the best structure of this formula in the dataset: 0.13 eV/f.u.
crystal system: monoclinic
space-group type: P2/m (10)

Unit cell a=3.6332 b=5.9531 c=19.1915 alpha=93.24 beta=90.00 gamma=90.00
Sites, in units of the cell vectors:
Sm: 0.0000 0.6863 0.1432
Sm: 0.5000 0.7428 0.4633
Nd: 0.5000 0.7109 0.2946
Pm: 0.5000 0.5000 0.0000
Pm: 0.0000 0.2217 0.3680
Sm: 0.0000 0.3137 0.8568
Sm: 0.5000 0.1886 0.1759
Sm: 0.5000 0.2572 0.5367
Nd: 0.5000 0.2891 0.7054
Sm: 0.5000 0.8114 0.8241
Sm: 0.0000 0.0000 0.0000
Pm: 0.0000 0.7783 0.6320

=====

[5]
Material: Pm16Nd7Sm6
Method: DFT, PBE
State: optimized geometry

Summary:
crystal system: cubic
space-group type: Fm-3m (225)

Unit cell a=11.4005 b=11.4005 c=11.4005 alpha=60.00 beta=60.00 gamma=60.00
Sites, in units of the cell vectors:
Pm: 0.1264 0.6208 0.1264
Pm: 0.8736 0.8736 0.3792
Nd: 0.0000 0.0000 0.0000
Nd: 0.0000 0.0000 0.5000
Pm: 0.1264 0.1264 0.1264
Pm: 0.3486 0.3486 0.3486
Nd: 0.0000 0.5000 0.5000
Sm: 0.2687 0.7313 0.2687
Sm: 0.7313 0.2687 0.7313
Pm: 0.6514 0.6514 0.6514
Nd: 0.5000 0.0000 0.0000
Nd: 0.5000 0.5000 0.0000
Pm: 0.3792 0.8736 0.8736
Sm: 0.2687 0.2687 0.7313
Pm: 0.8736 0.3792 0.8736
Pm: 0.3486 0.3486 0.9541
Pm: 0.8736 0.8736 0.8736
Pm: 0.1264 0.1264 0.6208
Sm: 0.2687 0.7313 0.7313
Pm: 0.6514 0.0459 0.6514
Pm: 0.3486 0.9541 0.3486
Pm: 0.0459 0.6514 0.6514
Pm: 0.6208 0.1264 0.1264
Sm: 0.7313 0.2687 0.2687
Nd: 0.0000 0.5000 0.0000
Nd: 0.5000 0.0000 0.5000
Pm: 0.6514 0.6514 0.0459
Sm: 0.7313 0.7313 0.2687
Pm: 0.9541 0.3486 0.3486

=====

[6]
Material: Pm7NdSm2
Method: DFT, PBE
State: optimized geometry

Summary:
excess energy over the best structure of this formula in the dataset: 0.00 eV/f.u.
crystal system: orthorhombic
space-group type: Cmmm (65)

Unit cell a=3.5314 b=10.4321 c=10.4321 alpha=109.20 beta=90.00 gamma=90.00
Sites, in units of the cell vectors:
Pm: 0.5000 0.3864 0.1272
Pm: 0.5000 0.5000 0.5000
Nd: 0.0000 0.0000 0.0000
Sm: 0.5000 0.1710 0.8290
Pm: 0.0000 0.3248 0.6752
Pm: 0.5000 0.1272 0.3864
Pm: 0.5000 0.8728 0.6136
Pm: 0.5000 0.6136 0.8728
Sm: 0.5000 0.8290 0.1710
Pm: 0.0000 0.6752 0.3248

=====

[7]
Material: Pm6Nd4Sm
Method: DFT, PBE
State: optimized geometry

Summary:
excess energy over the best structure of this formula in the dataset: 0.98 eV/f.u.
crystal system: tetragonal
space-group type: I-42m (121)

Unit cell a=7.6817 b=7.6817 c=8.7024 alpha=116.19 beta=116.19 gamma=90.00
Sites, in units of the cell vectors:
Nd: 0.9079 0.9079 0.1602
Pm: 0.5000 0.0000 0.0000
Sm: 0.5000 0.5000 0.0000
Pm: 0.4589 0.9150 0.3739
Pm: 0.0850 0.0850 0.6261
Nd: 0.2524 0.2524 0.1602
Nd: 0.7476 0.0921 0.8398
Pm: 0.9150 0.4589 0.3739
Pm: 0.5411 0.5411 0.6261
Nd: 0.0921 0.7476 0.8398
Pm: 0.0000 0.5000 0.0000

=====

[8]
Material: PmNd12Sm7
Method: DFT, PBE
State: optimized geometry

Summary:
excess energy over the best structure of this formula in the dataset: 0.00 eV/f.u.
crystal system: trigonal
space-group type: R-3m (166)

Unit cell a=10.3195 b=10.3195 c=10.3195 alpha=113.16 beta=113.16 gamma=113.16
Sites, in units of the cell vectors:
Sm: 0.0651 0.0651 0.4076
Nd: 0.9600 0.6466 0.6465
Nd: 0.2142 0.7858 0.5000
Sm: 0.5924 0.9349 0.9349
Sm: 0.4076 0.0651 0.0651
Sm: 0.9349 0.5924 0.9349
Nd: 0.7858 0.2142 0.5000
Nd: 0.6466 0.6465 0.9600
Nd: 0.7858 0.5000 0.2142
Sm: 0.5000 0.5000 0.5000
Nd: 0.5000 0.2142 0.7858
Pm: 0.0000 0.0000 0.0000
Sm: 0.0651 0.4076 0.0651
Nd: 0.6465 0.9600 0.6466
Sm: 0.9349 0.9349 0.5924
Nd: 0.3534 0.3535 0.0400
Nd: 0.5000 0.7858 0.2142
Nd: 0.2142 0.5000 0.7858
Nd: 0.0400 0.3534 0.3535
Nd: 0.3535 0.0400 0.3534

=====

[9]
Material: Pm3Nd5Sm
Method: DFT, PBE
State: optimized geometry

Summary:
excess energy over the best structure of this formula in the dataset: 0.00 eV/f.u.
crystal system: monoclinic
space-group type: C2/c (15)

Unit cell a=6.2879 b=11.1890 c=11.7226 alpha=123.84 beta=90.00 gamma=106.32
Sites, in units of the cell vectors:
Nd: 0.5808 0.0000 0.2500
Pm: 0.0000 0.0000 0.5000
Sm: 0.9033 0.0000 0.7500
Pm: 0.4060 0.3560 0.3276
Nd: 0.4192 0.0000 0.7500
Nd: 0.0196 0.6430 0.4793
Nd: 0.3766 0.3570 0.0207
Nd: 0.9804 0.3570 0.5207
Nd: 0.8256 0.2814 0.1298
Nd: 0.4558 0.2814 0.6298
Pm: 0.0500 0.6440 0.1724
Nd: 0.6234 0.6430 0.9793
Pm: 0.0000 0.0000 0.0000
Sm: 0.0967 0.0000 0.2500
Nd: 0.1744 0.7186 0.8702
Nd: 0.5442 0.7186 0.3702
Pm: 0.5940 0.6440 0.6724
Pm: 0.9500 0.3560 0.8276

=====

[10]
Material: Pm7Nd12Sm
Method: DFT, PBE
State: optimized geometry

Summary:
excess energy over the best structure of this formula in the dataset: 0.00 eV/f.u.
crystal system: trigonal
space-group type: R-3m (166)

Unit cell a=8.9899 b=8.9899 c=8.9899 alpha=98.98 beta=98.98 gamma=98.98
Sites, in units of the cell vectors:
Nd: 0.5001 0.7601 0.2399
Sm: 0.0000 0.0000 0.0000
Pm: 0.6599 0.0920 0.0919
Nd: 0.3546 0.0893 0.3545
Nd: 0.3545 0.3546 0.0893
Pm: 0.0920 0.0919 0.6599
Nd: 0.2399 0.5001 0.7601
Nd: 0.0893 0.3545 0.3546
Pm: 0.0919 0.6599 0.0920
Pm: 0.3401 0.9080 0.9081
Pm: 0.9080 0.9081 0.3401
Nd: 0.6454 0.9107 0.6455
Nd: 0.6455 0.6454 0.9107
Nd: 0.4999 0.2399 0.7601
Pm: 0.9081 0.3401 0.9080
Nd: 0.7601 0.4999 0.2399
Nd: 0.9107 0.6455 0.6454
Nd: 0.2399 0.7601 0.4999
Pm: 0.5000 0.5000 0.5000
Nd: 0.7601 0.2399 0.5001

=====

[11]
Material: Pm2Nd5Sm2
Method: DFT, PBE
State: optimized geometry

Summary:
excess energy over the best structure of this formula in the dataset: 0.00 eV/f.u.
crystal system: monoclinic
space-group type: C2/m (12)

Unit cell a=3.5409 b=10.0493 c=12.5657 alpha=133.78 beta=98.10 gamma=90.00
Sites, in units of the cell vectors:
Nd: 0.1757 0.4808 0.3514
Nd: 0.3306 0.1991 0.6612
Nd: 0.6694 0.8009 0.3388
Nd: 0.0000 0.0000 0.0000
Pm: 0.8378 0.9032 0.6756
Sm: 0.5039 0.3210 0.0079
Pm: 0.1622 0.0968 0.3244
Sm: 0.4961 0.6790 0.9921
Nd: 0.8243 0.5192 0.6486

=====

[12]
Material: Pm5Nd2Sm
Method: DFT, PBE
State: optimized geometry

Summary:
excess energy over the best structure of this formula in the dataset: 0.00 eV/f.u.
crystal system: orthorhombic
space-group type: Pbam (55)

Unit cell a=5.1629 b=7.3138 c=14.6277 alpha=90.00 beta=90.00 gamma=90.00
Sites, in units of the cell vectors:
Pm: 0.0000 0.9995 0.7498
Pm: 0.0000 0.0000 0.0000
Nd: 0.5000 0.7496 0.8752
Sm: 0.0000 0.5000 0.0000
Pm: 0.5000 0.2497 0.8750
Sm: 0.0000 0.0000 0.5000
Nd: 0.5000 0.2496 0.6248
Pm: 0.0000 0.4995 0.7502
Pm: 0.5000 0.7503 0.1250
Nd: 0.5000 0.2504 0.1248
Pm: 0.5000 0.7497 0.6250
Pm: 0.5000 0.2503 0.3750
Pm: 0.0000 0.0005 0.2502
Pm: 0.0000 0.5005 0.2498
Pm: 0.0000 0.5000 0.5000
Nd: 0.5000 0.7504 0.3752

=====

[13]
Material: Pm3Nd12Sm
Method: DFT, PBE
State: optimized geometry

Summary:
crystal system: tetragonal
space-group type: P4/mmm (123)

Unit cell a=5.1931 b=5.1931 c=20.7397 alpha=90.00 beta=90.00 gamma=90.00
Sites, in units of the cell vectors:
Nd: 0.5000 0.0000 0.6252
Nd: 0.5000 0.0000 0.1247
Pm: 0.0000 0.0000 0.7503
Nd: 0.0000 0.5000 0.3748
Pm: 0.0000 0.0000 0.2497
Nd: 0.0000 0.5000 0.1247
Nd: 0.5000 0.5000 0.2497
Pm: 0.0000 0.0000 0.5000
Nd: 0.0000 0.5000 0.8753
Nd: 0.0000 0.5000 0.6252
Nd: 0.5000 0.5000 0.7503
Sm: 0.0000 0.0000 0.0000
Nd: 0.5000 0.0000 0.3748
Nd: 0.5000 0.5000 0.0000
Nd: 0.5000 0.5000 0.5000
Nd: 0.5000 0.0000 0.8753

=====

[14]
Material: Pm2Nd5Sm3
Method: DFT, PBE
State: optimized geometry

Summary:
excess energy over the best structure of this formula in the dataset: 0.00 eV/f.u.
crystal system: monoclinic
space-group type: C2/c (15)

Unit cell a=10.0520 b=10.0671 c=11.3396 alpha=128.51 beta=128.48 gamma=66.22
Sites, in units of the cell vectors:
Sm: 0.7698 0.0198 0.0395
Pm: 0.7835 0.0223 0.7512
Pm: 0.2165 0.9777 0.2488
Nd: 0.1345 0.3850 0.2478
Nd: 0.5219 0.2719 0.5437
Sm: 0.0196 0.7822 0.2485
Pm: 0.4677 0.7290 0.7512
Nd: 0.7257 0.4757 0.9513
Nd: 0.6134 0.8628 0.2478
Pm: 0.5323 0.2710 0.2488
Nd: 0.8655 0.6150 0.7522
Nd: 0.4781 0.7281 0.4563
Nd: 0.3866 0.1372 0.7522
Nd: 0.0201 0.7701 0.5402
Nd: 0.9799 0.2299 0.4598
Nd: 0.2743 0.5243 0.0487
Sm: 0.2302 0.9802 0.9605
Sm: 0.7289 0.4663 0.2485
Sm: 0.2711 0.5337 0.7515
Sm: 0.9804 0.2178 0.7515

=====

[15]
Material: Pm12Nd5Sm2
Method: DFT, PBE
State: optimized geometry

Summary:
excess energy over the best structure of this formula in the dataset: 0.00 eV/f.u.
crystal system: monoclinic
space-group type: C2/m (12)

Unit cell a=8.0308 b=10.3198 c=9.5691 alpha=122.63 beta=89.19 gamma=90.00
Sites, in units of the cell vectors:
Nd: 0.4849 0.7536 0.5071
Nd: 0.5000 0.0000 0.0000
Nd: 0.5151 0.2464 0.4929
Pm: 0.8817 0.1543 0.3085
Pm: 0.2054 0.9622 0.3848
Nd: 0.9216 0.6476 0.2951
Pm: 0.7946 0.0378 0.6152
Pm: 0.7946 0.5774 0.6152
Sm: 0.0000 0.2322 0.0000
Pm: 0.3897 0.1702 0.7893
Sm: 0.0000 0.7678 0.0000
Pm: 0.2919 0.5513 0.1026
Pm: 0.7081 0.4487 0.8974
Pm: 0.1183 0.8457 0.6915
Pm: 0.2054 0.4226 0.3848
Pm: 0.6103 0.8298 0.2107
Pm: 0.3897 0.6191 0.7893
Pm: 0.6103 0.3809 0.2107
Nd: 0.0784 0.3524 0.7049

=====

[16]
Material: Pm2Nd5Sm
Method: DFT, PBE
State: optimized geometry

Summary:
excess energy over the best structure of this formula in the dataset: 0.00 eV/f.u.
crystal system: orthorhombic
space-group type: Pbam (55)

Unit cell a=5.1828 b=7.3350 c=14.6727 alpha=90.00 beta=90.00 gamma=90.00
Sites, in units of the cell vectors:
Nd: 0.5000 0.7505 0.1247
Pm: 0.5000 0.2490 0.6246
Nd: 0.0000 0.5011 0.2495
Nd: 0.0000 0.0000 0.0000
Nd: 0.5000 0.7495 0.6247
Pm: 0.5000 0.2510 0.1246
Nd: 0.0000 0.9989 0.7495
Nd: 0.0000 0.5000 0.5000
Nd: 0.0000 0.0011 0.2505
Pm: 0.5000 0.7490 0.8754
Sm: 0.0000 0.5000 0.0000
Nd: 0.0000 0.4989 0.7505
Nd: 0.5000 0.2505 0.3753
Pm: 0.5000 0.7510 0.3754
Sm: 0.0000 0.0000 0.5000
Nd: 0.5000 0.2495 0.8753

=====

[17]
Material: Pm6Nd2Sm
Method: DFT, PBE
State: optimized geometry

Summary:
excess energy over the best structure of this formula in the dataset: 1.80 eV/f.u.
crystal system: trigonal
space-group type: P-3m1 (164)

Unit cell a=6.1983 b=7.6830 c=7.6830 alpha=60.02 beta=90.01 gamma=90.01
Sites, in units of the cell vectors:
Nd: 0.2150 0.3336 0.3336
Pm: 0.7107 0.6242 0.1874
Pm: 0.2893 0.8126 0.3758
Nd: 0.7850 0.6664 0.6664
Pm: 0.2890 0.8125 0.8125
Pm: 0.7107 0.1874 0.6242
Sm: 0.0000 0.0000 0.0000
Pm: 0.7110 0.1875 0.1875
Pm: 0.2893 0.3758 0.8126

=====

[18]
Material: Pm8Nd4Sm
Method: DFT, PBE
State: optimized geometry

Summary:
crystal system: trigonal
space-group type: R-3m (166)

Unit cell a=11.3169 b=11.3168 c=7.9404 alpha=90.00 beta=135.45 gamma=120.00
Each line ends with the local moment (μB).
Sites, in units of the cell vectors:
Nd: 0.5000 0.5000 0.0000  0.14
Pm: 0.9892 0.7538 0.2246  0.05
Pm: 0.4708 0.2354 0.2246  0.05
Pm: 0.5292 0.7646 0.7754  0.05
Nd: 0.5000 0.0000 0.0000  0.14
Pm: 0.4742 0.2371 0.7113  0.05
Sm: 0.0000 0.5000 0.5000  0.03
Pm: 0.0108 0.7646 0.7754  0.05
Nd: 0.0000 0.5000 0.0000  0.14
Pm: 0.9892 0.2354 0.2246  0.05
Nd: 0.0000 0.0000 0.0000  -0.04
Pm: 0.5258 0.7629 0.2887  0.05
Pm: 0.0108 0.2462 0.7754  0.05

=====

Formation energy? In order: 0.31; 0.26; 0.61; 0.08; 0.22; 0.38; 0.37; 0.21; 0.26; 0.09; 0.13; 0.01; 0.01; 0.18; 0.12; 0.01; 0.21; 0.48 eV/atom.